Material: Rb4In
Method: DFT, PBE-GGA
State: optimized geometry

Summary:
As for the formation energy: 0.09 eV per atom.

Unit cell a=7.3500 b=7.3500 c=7.3500 alpha=90.00 beta=90.00 gamma=90.00
Sites, in units of the cell vectors:
Rb1 0.0000 0.0000 0.0000
Rb2 0.0000 0.5000 0.5000
Rb3 0.5000 0.0000 0.5000
Rb4 0.5000 0.5000 0.0000
In1 0.5000 0.5000 0.5000


Material: RbIn6
Method: DFT, PBE-GGA
State: optimized geometry

Summary:
The energy above the most stable polymorph in this dataset comes out at 1.29 eV per formula unit. As for the formation energy: 0.15 eV per atom.

Unit cell a=6.9884 b=6.9884 c=6.9884 alpha=90.00 beta=90.00 gamma=90.00
Sites, in units of the cell vectors:
Rb1 0.0000 0.0000 0.0000
In1 0.1964 0.5000 0.5000
In2 0.5000 0.1964 0.5000
In3 0.5000 0.5000 0.1964
In4 0.5000 0.5000 0.8036
In5 0.5000 0.8036 0.5000
In6 0.8036 0.5000 0.5000


Material: RbIn
Method: DFT, PBE-GGA
State: optimized geometry

Summary:
The energy above the most stable polymorph in this dataset comes out at 0.07 eV per formula unit. As for the formation energy: -0.05 eV per atom.

Unit cell a=6.8601 b=6.8601 c=5.0752 alpha=111.57 beta=111.57 gamma=105.71
Sites, in units of the cell vectors:
Rb1 0.1550 0.8450 0.7500
Rb2 0.8450 0.1550 0.2500
In1 0.4419 0.5581 0.2500
In2 0.5581 0.4419 0.7500


Material: RbIn3
Method: DFT, PBE-GGA
State: optimized geometry

Summary:
As for the formation energy: -0.02 eV per atom.

Unit cell a=3.4174 b=4.9814 c=8.1293 alpha=90.00 beta=90.00 gamma=90.00
Sites, in units of the cell vectors:
Rb1 0.0000 0.0000 0.0000
In1 0.0000 0.5000 0.6565
In2 0.5000 0.0000 0.5018
In3 0.5000 0.5000 0.2888


| no. | volume (Å³/atom) | DOS at the Fermi energy (states/eV/atom) | theoretical density (g cm⁻³) |
| --- | --- | --- | --- |
| 1 | 79.41 | 1.077 | 1.9 |
| 2 | 48.76 | 0.208 | 3.8 |
| 3 | 45.60 | 0.369 | 3.6 |
| 4 | 34.60 | 0.471 | 5.2 |